Entry 1:
VASP calculation (PBEsol) on KRePb2 after structural relaxation.

Magnetization   0.0 μB per formula unit
DFT formation energy   794 meV per atom
Energy above the lowest structure with this stoichiometry   331 meV per atom

CIF file:
```
data_KRePb2
_cell_length_a 2.951
_cell_length_b 6.417
_cell_length_c 11.692
_cell_angle_alpha 90.00
_cell_angle_beta 90.00
_cell_angle_gamma 90.00
_symmetry_space_group_name_H-M 'I m m m'
_symmetry_Int_Tables_number 71
_symmetry_space_group_name_Hall '-I 2 2'
loop_
_atom_site_label
_atom_site_type_symbol
_atom_site_fract_x
_atom_site_fract_y
_atom_site_fract_z
K1 K 0.000 0.000 0.000
Re1 Re 0.000 0.000 0.500
Pb1 Pb 0.000 0.500 0.202
```


Entry 2:
VASP calculation (PBEsol) on CaZnAs2 after structural relaxation.

Magnetization   0.0 μB per formula unit
DFT formation energy   -554 meV per atom

CIF file:
```
data_CaZnAs2
_cell_length_a 11.003
_cell_length_b 4.095
_cell_length_c 4.107
_cell_angle_alpha 90.00
_cell_angle_beta 111.79
_cell_angle_gamma 90.00
_symmetry_space_group_name_H-M 'C 1 m 1'
_symmetry_Int_Tables_number 8
_symmetry_space_group_name_Hall 'C -2y'
loop_
_atom_site_label
_atom_site_type_symbol
_atom_site_fract_x
_atom_site_fract_y
_atom_site_fract_z
Ca1 Ca 0.000 0.000 0.000
Zn1 Zn 0.241 0.500 0.287
As1 As 0.103 0.500 0.641
As2 As 0.363 0.000 0.261
```


Entry 3:
VASP calculation (PBEsol) on BaHgMo2 after structural relaxation.

Magnetization   0.0 μB per formula unit
DFT formation energy   1078 meV per atom

CIF file:
```
data_BaHgMo2
_cell_length_a 2.883
_cell_length_b 2.883
_cell_length_c 10.000
_cell_angle_alpha 90.00
_cell_angle_beta 90.00
_cell_angle_gamma 90.00
_symmetry_space_group_name_H-M 'P 4/m m m'
_symmetry_Int_Tables_number 123
_symmetry_space_group_name_Hall '-P 4 2'
loop_
_atom_site_label
_atom_site_type_symbol
_atom_site_fract_x
_atom_site_fract_y
_atom_site_fract_z
Ba1 Ba 0.000 0.000 0.000
Hg1 Hg 0.000 0.000 0.500
Mo1 Mo 0.500 0.500 0.288
```


Entry 4:
VASP calculation (PBEsol) on InFePb2 after structural relaxation.

Magnetization   2.3 μB per formula unit
DFT formation energy   395 meV per atom
Energy above the lowest structure with this stoichiometry   116 meV per atom

CIF file:
```
data_InFePb2
_cell_length_a 3.5080
_cell_length_b 3.5080
_cell_length_c 26.5139
_cell_angle_alpha 90.00
_cell_angle_beta 90.00
_cell_angle_gamma 120.00
_symmetry_space_group_name_H-M 'R -3 m'
_symmetry_Int_Tables_number 166
_symmetry_space_group_name_Hall '-R 3 2"'
loop_
_atom_site_label
_atom_site_type_symbol
_atom_site_fract_x
_atom_site_fract_y
_atom_site_fract_z
In1 In 0.0000 0.0000 0.0000
Fe1 Fe 0.0000 0.0000 0.5000
Pb1 Pb 0.0000 0.0000 0.2360
```


Entry 5:
VASP calculation (PBEsol) on MgBiP3 after structural relaxation.

Magnetization   0.0 μB per formula unit
DFT formation energy   777 meV per atom

CIF file:
```
data_MgBiP3
_cell_length_a 4.761
_cell_length_b 4.761
_cell_length_c 4.761
_cell_angle_alpha 90.00
_cell_angle_beta 90.00
_cell_angle_gamma 90.00
_symmetry_space_group_name_H-M 'P m -3 m'
_symmetry_Int_Tables_number 221
_symmetry_space_group_name_Hall '-P 4 2 3'
loop_
_atom_site_label
_atom_site_type_symbol
_atom_site_fract_x
_atom_site_fract_y
_atom_site_fract_z
Mg1 Mg 0.000 0.000 0.000
Bi1 Bi 0.500 0.500 0.500
P1 P 0.000 0.000 0.500
```


Entry 6:
VASP calculation (PBEsol) on ZrMnSb2Pb after structural relaxation.

Magnetization   2.9 μB per formula unit
Formation energy from raw total energies   1251 meV/atom

CIF file:
```
data_ZrMnSb2Pb
_cell_length_a 5.602
_cell_length_b 5.602
_cell_length_c 4.786
_cell_angle_alpha 90.00
_cell_angle_beta 90.00
_cell_angle_gamma 90.00
_symmetry_space_group_name_H-M 'P 4/m m m'
_symmetry_Int_Tables_number 123
_symmetry_space_group_name_Hall '-P 4 2'
loop_
_atom_site_label
_atom_site_type_symbol
_atom_site_fract_x
_atom_site_fract_y
_atom_site_fract_z
Zr1 Zr 0.000 0.000 0.000
Mn1 Mn 0.500 0.500 0.000
Sb1 Sb 0.000 0.500 0.500
Pb1 Pb 0.500 0.500 0.500
```


Entry 7:
VASP calculation (PBEsol) on CrNiP2O8 after structural relaxation.

Magnetization   4.0 μB per formula unit
Formation energy from raw total energies   -1751 meV/atom
Energy above the lowest structure with this stoichiometry   50 meV per atom

CIF file:
```
data_CrNiP2O8
_cell_length_a 8.4275
_cell_length_b 8.4275
_cell_length_c 19.5901
_cell_angle_alpha 90.00
_cell_angle_beta 90.00
_cell_angle_gamma 120.00
_symmetry_space_group_name_H-M 'R 3'
_symmetry_Int_Tables_number 146
_symmetry_space_group_name_Hall 'R 3'
loop_
_atom_site_label
_atom_site_type_symbol
_atom_site_fract_x
_atom_site_fract_y
_atom_site_fract_z
Cr1 Cr 0.0000 0.0000 0.0000
Cr2 Cr 0.0000 0.0000 0.1428
Cr3 Cr 0.0000 0.0000 0.6434
Ni1 Ni 0.0000 0.0000 0.2831
Ni2 Ni 0.0000 0.0000 0.5037
Ni3 Ni 0.0000 0.0000 0.7817
P1 P 0.9999 0.7083 0.3930
P2 P 0.0005 0.2936 0.8907
O1 O 0.0039 0.8341 0.0689
O2 O 0.0196 0.1988 0.9544
O3 O 0.0226 0.1841 0.5744
O4 O 0.1318 0.6681 0.1257
O5 O 0.1353 0.4639 0.4920
O6 O 0.1390 0.6751 0.9942
O7 O 0.1648 0.4936 0.8800
O8 O 0.1693 0.6793 0.3800
```


Entry 8:
VASP calculation (PBEsol) on CaLa2Pt after structural relaxation.

Magnetization   0.0 μB per formula unit
DFT formation energy   -471 meV per atom

CIF file:
```
data_CaLa2Pt
_cell_length_a 3.677
_cell_length_b 3.677
_cell_length_c 9.384
_cell_angle_alpha 90.00
_cell_angle_beta 90.00
_cell_angle_gamma 90.00
_symmetry_space_group_name_H-M 'P 4/m m m'
_symmetry_Int_Tables_number 123
_symmetry_space_group_name_Hall '-P 4 2'
loop_
_atom_site_label
_atom_site_type_symbol
_atom_site_fract_x
_atom_site_fract_y
_atom_site_fract_z
Ca1 Ca 0.000 0.000 0.000
La1 La 0.500 0.500 0.326
Pt1 Pt 0.000 0.000 0.500
```


Entry 9:
VASP calculation (PBEsol) on Sc2CuAu after structural relaxation.

Magnetization   0.0 μB per formula unit
DFT formation energy   -549 meV per atom
Energy above the lowest structure with this stoichiometry   0 meV per atom

CIF file:
```
data_Sc2CuAu
_cell_length_a 3.285
_cell_length_b 3.285
_cell_length_c 6.548
_cell_angle_alpha 90.00
_cell_angle_beta 90.00
_cell_angle_gamma 90.00
_symmetry_space_group_name_H-M 'P 4/m m m'
_symmetry_Int_Tables_number 123
_symmetry_space_group_name_Hall '-P 4 2'
loop_
_atom_site_label
_atom_site_type_symbol
_atom_site_fract_x
_atom_site_fract_y
_atom_site_fract_z
Sc1 Sc 0.000 0.000 0.238
Cu1 Cu 0.500 0.500 0.000
Au1 Au 0.500 0.500 0.500
```


Entry 10:
VASP calculation (PBEsol) on In3ReRh after structural relaxation.

Magnetization   1.2 μB per formula unit
DFT formation energy   1193 meV per atom

CIF file:
```
data_In3ReRh
_cell_length_a 5.048
_cell_length_b 5.048
_cell_length_c 5.048
_cell_angle_alpha 90.00
_cell_angle_beta 90.00
_cell_angle_gamma 90.00
_symmetry_space_group_name_H-M 'P m -3 m'
_symmetry_Int_Tables_number 221
_symmetry_space_group_name_Hall '-P 4 2 3'
loop_
_atom_site_label
_atom_site_type_symbol
_atom_site_fract_x
_atom_site_fract_y
_atom_site_fract_z
In1 In 0.000 0.000 0.500
Re1 Re 0.000 0.000 0.000
Rh1 Rh 0.500 0.500 0.500
```